Entry 1:
# CeY5Au6 (PBE, relaxed)
data_CeY5Au6
_cell_length_a 5.119
_cell_length_b 8.890
_cell_length_c 8.890
_cell_angle_alpha 120.03
_cell_angle_beta 106.71
_cell_angle_gamma 106.71
_space_group_name_H-M_alt 'P 1'
_space_group_IT_number 1
loop_
_space_group_symop_operation_xyz
'x,y,z'
loop_
_atom_site_label
_atom_site_fract_x
_atom_site_fract_y
_atom_site_fract_z
Y1 0.500 0.165 0.835
Y2 0.000 0.332 0.668
Y3 0.500 0.500 0.500
Y4 0.000 0.668 0.332
Y5 0.500 0.835 0.165
Au1 0.255 0.086 0.425
Au2 0.745 0.575 0.914
Au3 0.762 0.261 0.261
Au4 0.238 0.739 0.739
Au5 0.255 0.425 0.086
Au6 0.745 0.914 0.575
Ce1 0.000 0.000 0.000
# - SG: C2/m, No. 12
# - ρ: 10.24 g/cm³
# - Energy of formation from the pure elements: -0.81 eV per atom
# - Total magnetic moment: 0.876 μB/f.u.


Entry 2:
# CeY4Au5 (PBE, relaxed)
data_CeY4Au5
_cell_length_a 3.590
_cell_length_b 3.590
_cell_length_c 18.503
_cell_angle_alpha 90.00
_cell_angle_beta 90.00
_cell_angle_gamma 90.00
_space_group_name_H-M_alt 'P 1'
_space_group_IT_number 1
loop_
_space_group_symop_operation_xyz
'x,y,z'
loop_
_atom_site_label
_atom_site_fract_x
_atom_site_fract_y
_atom_site_fract_z
Ce1 0.000 0.000 0.000
Y1 0.000 0.000 0.204
Y2 0.000 0.000 0.401
Y3 0.000 0.000 0.599
Y4 0.000 0.000 0.796
Au1 0.500 0.500 0.110
Au2 0.500 0.500 0.303
Au3 0.500 0.500 0.500
Au4 0.500 0.500 0.697
Au5 0.500 0.500 0.890
# - SG: P4/mmm, No. 123
# - ρ: 10.31 g/cm³
# - Energy of formation from the pure elements: -0.81 eV per atom
# - Total magnetic moment: 1.139 μB/f.u.


Entry 3:
# Ce2YAu4 (PBE, relaxed)
data_Ce2YAu4
_cell_length_a 5.273
_cell_length_b 5.273
_cell_length_c 7.540
_cell_angle_alpha 110.46
_cell_angle_beta 110.46
_cell_angle_gamma 90.00
_space_group_name_H-M_alt 'P 1'
_space_group_IT_number 1
loop_
_space_group_symop_operation_xyz
'x,y,z'
loop_
_atom_site_label
_atom_site_fract_x
_atom_site_fract_y
_atom_site_fract_z
Ce1 0.720 0.720 0.439
Ce2 0.280 0.280 0.561
Y1 0.000 0.000 0.000
Au1 0.385 0.885 0.770
Au2 0.885 0.385 0.770
Au3 0.615 0.115 0.230
Au4 0.115 0.615 0.230
# - SG: I4/mmm, No. 139
# - ρ: 10.54 g/cm³
# - Energy of formation from the pure elements: -0.57 eV per atom
# - Total magnetic moment: 2.078 μB/f.u.


Entry 4:
# CeYAu6 (PBE, relaxed)
data_CeYAu6
_cell_length_a 4.906
_cell_length_b 4.936
_cell_length_c 8.526
_cell_angle_alpha 89.63
_cell_angle_beta 73.28
_cell_angle_gamma 60.20
_space_group_name_H-M_alt 'P 1'
_space_group_IT_number 1
loop_
_space_group_symop_operation_xyz
'x,y,z'
loop_
_atom_site_label
_atom_site_fract_x
_atom_site_fract_y
_atom_site_fract_z
Ce1 0.000 0.500 0.500
Y1 0.000 0.000 0.000
Au1 0.247 0.876 0.630
Au2 0.501 0.248 0.749
Au3 0.253 0.374 0.120
Au4 0.499 0.752 0.251
Au5 0.753 0.124 0.370
Au6 0.747 0.626 0.880
# - SG: C2/m, No. 12
# - ρ: 13.84 g/cm³
# - Energy of formation from the pure elements: -0.62 eV per atom
# - Total magnetic moment: 0.566 μB/f.u.


Entry 5:
# CeYAu (PBE, relaxed)
data_CeYAu
_cell_length_a 3.767
_cell_length_b 4.965
_cell_length_c 4.965
_cell_angle_alpha 120.00
_cell_angle_beta 90.00
_cell_angle_gamma 90.00
_space_group_name_H-M_alt 'P 1'
_space_group_IT_number 1
loop_
_space_group_symop_operation_xyz
'x,y,z'
loop_
_atom_site_label
_atom_site_fract_x
_atom_site_fract_y
_atom_site_fract_z
Y1 0.594 0.667 0.333
Au1 0.374 0.333 0.667
Ce1 0.032 0.000 0.000
# - SG: P3m1, No. 156
# - ρ: 8.80 g/cm³
# - Energy above the lowest structure with this stoichiometry: 150 meV per atom
# - Energy of formation from the pure elements: -0.27 eV per atom
# - Total magnetic moment: 1.013 μB/f.u.


Entry 6:
# YbCeAu2 (PBE, relaxed)
data_YbCeAu2
_cell_length_a 5.150
_cell_length_b 5.150
_cell_length_c 5.150
_cell_angle_alpha 60.02
_cell_angle_beta 60.02
_cell_angle_gamma 60.02
_space_group_name_H-M_alt 'P 1'
_space_group_IT_number 1
loop_
_space_group_symop_operation_xyz
'x,y,z'
loop_
_atom_site_label
_atom_site_fract_x
_atom_site_fract_y
_atom_site_fract_z
Yb1 0.250 0.250 0.250
Au1 0.500 0.500 0.500
Au2 0.000 0.000 0.000
Ce1 0.750 0.750 0.750
# - SG: Fm-3m, No. 225
# - ρ: 12.15 g/cm³
# - Energy of formation from the pure elements: -0.80 eV per atom
# - Total magnetic moment: 0.779 μB/f.u.


Entry 7:
# CeZnAu3 (PBE, relaxed)
data_CeZnAu3
_cell_length_a 5.622
_cell_length_b 5.658
_cell_length_c 13.105
_cell_angle_alpha 90.00
_cell_angle_beta 90.00
_cell_angle_gamma 90.00
_space_group_name_H-M_alt 'P 1'
_space_group_IT_number 1
loop_
_space_group_symop_operation_xyz
'x,y,z'
loop_
_atom_site_label
_atom_site_fract_x
_atom_site_fract_y
_atom_site_fract_z
Ce1 0.500 0.000 0.000
Ce2 0.000 0.500 0.500
Ce3 0.000 0.500 0.000
Ce4 0.500 0.000 0.500
Zn1 0.317 0.808 0.250
Zn2 0.817 0.692 0.750
Zn3 0.683 0.192 0.750
Zn4 0.183 0.308 0.250
Au1 0.985 0.995 0.893
Au2 0.485 0.505 0.393
Au3 0.485 0.505 0.107
Au4 0.015 0.005 0.393
Au5 0.015 0.005 0.107
Au6 0.515 0.495 0.607
Au7 0.515 0.495 0.893
Au8 0.985 0.995 0.607
Au9 0.651 0.148 0.250
Au10 0.151 0.352 0.750
Au11 0.349 0.852 0.750
Au12 0.849 0.648 0.250
# - SG: Pnma, No. 62
# - ρ: 12.69 g/cm³
# - Energy above the lowest structure with this stoichiometry: 60 meV per atom
# - Energy of formation from the pure elements: -0.46 eV per atom
# - Total magnetic moment: 1.034 μB/f.u.


Entry 8:
# Ce3Zn3Au (PBE, relaxed)
data_Ce3Zn3Au
_cell_length_a 4.611
_cell_length_b 3.384
_cell_length_c 10.478
_cell_angle_alpha 99.29
_cell_angle_beta 102.71
_cell_angle_gamma 90.00
_space_group_name_H-M_alt 'P 1'
_space_group_IT_number 1
loop_
_space_group_symop_operation_xyz
'x,y,z'
loop_
_atom_site_label
_atom_site_fract_x
_atom_site_fract_y
_atom_site_fract_z
Ce1 0.301 0.801 0.603
Ce2 0.699 0.199 0.398
Ce3 0.999 0.999 0.998
Zn1 0.137 0.637 0.274
Zn2 0.860 0.360 0.720
Zn3 0.569 0.569 0.139
Au1 0.434 0.434 0.868
# - SG: Imm2, No. 44
# - ρ: 8.59 g/cm³
# - Energy of formation from the pure elements: -0.33 eV per atom
# - Total magnetic moment: 2.717 μB/f.u.


Question: Which of these has the highest ρ?
Answer: CeYAu6